[1]
The following is a DFT calculation (PBE) of crystalline BaSr2CaH at its relaxed geometry.

Unit cell a=5.974 b=5.974 c=5.574 alpha=90.00 beta=90.00 gamma=90.00
Space group P4/mmm (No. 123)
Asymmetric unit:
Ba  0.000  0.000  0.000 [1 per cell]
Sr  0.000  0.500  0.500 [2 per cell]
Ca  0.500  0.500  0.000 [1 per cell]
H  0.500  0.500  0.500 [1 per cell]

Calculated values
offset from the most stable computed form: 26.2 kJ/mol of formula units
density of states at the Fermi level: 3.5 states/eV/cell
calculated volume: 198.92 Å³ per cell

---

[2]
The following is a DFT calculation (PBE) of crystalline LaRhCl4 at its relaxed geometry.

Unit cell a=8.190 b=8.190 c=8.190 alpha=90.00 beta=90.00 gamma=90.00
Space group F-43m (No. 216)
Asymmetric unit:
La  0.000  0.000  0.000 [4 per cell]
Rh  0.250  0.250  0.750 [4 per cell]
Cl  0.125  0.125  0.375 [16 per cell]

Calculated values
density of states at the Fermi level: 31.9 states/eV/cell
DFT total energy: -81.47 eV for the cell shown
calculated volume: 549.40 Å³ per cell

---

[3]
The following is a DFT calculation (PBE) of crystalline V2GeI at its relaxed geometry.

Unit cell a=5.845 b=5.845 c=12.478 alpha=90.00 beta=90.00 gamma=90.00
Space group I-42d (No. 122)
Asymmetric unit:
V  0.207  0.250  0.125 [8 per cell]
Ge  0.000  0.000  0.000 [4 per cell]
I  0.000  0.000  0.500 [4 per cell]

Calculated values
offset from the most stable computed form: 60.7 kJ/mol of formula units
density of states at the Fermi level: 10.4 states/eV/cell
calculated volume: 426.34 Å³ per cell

---

[4]
The following is a DFT calculation (PBE) of crystalline TaCrPt2 at its relaxed geometry.

Unit cell a=9.150 b=2.775 c=4.905 alpha=90.00 beta=100.73 gamma=90.00
Space group Cm (No. 8)
Asymmetric unit:
Ta  0.000  0.000  0.000 [2 per cell]
Cr  0.242  0.500  0.292 [2 per cell]
Pt  0.245  0.000  0.770 [2 per cell]
Pt  0.485  0.000  0.482 [2 per cell]

Calculated values
offset from the most stable computed form: 63.4 kJ/mol of formula units
density of states at the Fermi level: 7.6 states/eV/cell
calculated volume: 122.40 Å³ per cell